Computed, not measured: DyEr2Lu4Te2Pd2 after structural relaxation at the PBE-GGA level of DFT.

Geometry as extended XYZ:
```
11
Lattice="-1.9547 7.7161 4.7621 1.9547 -7.7161 4.7621 1.9547 7.7161 -4.7621" Properties=species:S:1:pos:R:3 pbc="T T T"
Dy 0.0000 0.0000 0.0000
Er 1.9547 2.8293 -1.2084
Er 0.0000 4.8868 3.5538
Lu 1.9547 -2.2216 2.2310
Lu 1.9547 2.2216 2.2310
Lu 1.9547 5.6979 0.7930
Lu 0.0000 2.0182 5.5552
Te 0.0000 0.0000 3.2342
Te 0.0000 7.7161 2.2168
Pd 0.0000 3.6533 0.6626
Pd 0.0000 11.7789 0.6626
```

The calculation puts the energy above the lowest structure with this stoichiometry at 13 meV per atom. As for the volume: 26.12 Å³ per atom. The calculation puts the theoretical density at 9.62 Mg/m³. As for the space group: Imm2, No. 44.